Entry 1:
Crystalline LiCaMo2 at its relaxed geometry. Source: the Alexandria database, functional PBE-GGA.

```
LiCaMo2
1.0
5.3111 0.0189 0.0747
-2.3382 5.3558 -0.0412
0.6348 0.6460 2.5485
Mo Li Ca
2 1 1
Direct
0.5000 0.0000 0.5000 Mo
0.0000 0.0000 0.0000 Mo
0.5000 0.5000 0.0000 Li
0.0000 0.5000 0.5000 Ca
```

Values from the calculation:
The value obtained for the formation energy is 0.64 eV/atom.

Entry 2:
Crystalline Li2CaMo at its relaxed geometry. Source: the Alexandria database, functional PBE-GGA.

```
Li2CaMo
1.0
6.3314 0.0007 0.0025
3.4599 5.3024 -0.0025
-4.0983 -4.1237 2.5071
Ca Li Mo
1 2 1
Direct
0.2500 0.7500 0.5000 Ca
0.9746 0.9746 0.0000 Li
0.5254 0.5254 0.0000 Li
0.7500 0.2500 0.5000 Mo
```

Values from the calculation:
The value obtained for the formation energy is 0.64 eV/atom.

Entry 3:
Crystalline LiCaMo2 at its relaxed geometry. Source: the Alexandria database, functional PBE-GGA.

```
LiCaMo2
1.0
-2.5765 -0.4172 0.6034
-0.5991 -0.0751 -2.6100
1.5647 -9.7762 -0.0780
Ca Mo Li
1 2 1
Direct
0.5000 0.5000 0.2500 Ca
0.0000 0.0000 0.5163 Mo
0.0000 0.0000 0.9837 Mo
0.5000 0.5000 0.7500 Li
```

Values from the calculation:
The value obtained for the formation energy is 0.70 eV/atom.

Entry 4:
Crystalline LiCaMo2 at its relaxed geometry. Source: the Alexandria database, functional PBE-GGA.

```
LiCaMo2
1.0
4.7740 -0.0028 0.0025
4.0157 2.5817 0.0025
0.1446 0.0424 6.1284
Mo Li Ca
2 1 1
Direct
0.2505 0.2505 0.1967 Mo
0.0056 0.0056 0.0206 Mo
0.7459 0.7459 0.7842 Li
0.4981 0.4981 0.4984 Ca
```

Values from the calculation:
The value obtained for the formation energy is 0.56 eV/atom.

Entry 5:
Crystalline Li2CaMo at its relaxed geometry. Source: the Alexandria database, functional PBE-GGA.

```
Li2CaMo
1.0
-1.6358 3.0356 -4.0505
-2.7961 0.5310 -4.4941
-4.7218 1.7263 2.6044
Ca Li Mo
1 2 1
Direct
0.7500 0.7500 0.7500 Ca
0.5086 0.5086 0.4505 Li
0.9914 0.9914 0.0495 Li
0.2500 0.2500 0.2500 Mo
```

Values from the calculation:
The value obtained for the formation energy is 0.59 eV/atom.

Entry 6:
Crystalline LiCaMo2 at its relaxed geometry. Source: the Alexandria database, functional PBE-GGA.

```
LiCaMo2
1.0
-9.5688 2.1819 -3.8416
-9.3909 -0.5004 -4.7584
-10.3218 0.0435 -2.1308
Li Mo Ca
1 2 1
Direct
0.7500 0.7500 0.7500 Li
0.0042 0.0042 0.0042 Mo
0.4958 0.4958 0.4958 Mo
0.2500 0.2500 0.2500 Ca
```

Values from the calculation:
The value obtained for the formation energy is 0.86 eV/atom.